No. 1
HfScAg: optimized geometry, PBE-GGA.

- E above lowest polymorph: 0.4959 eV/atom
- Symmetry: P6_3/mmc, No. 194

Cell: 4.9735 4.9735 5.6972 Å, 90.00 90.00 120.00°
Last column: nearest neighbours and their distance in Å.
Element x y z (fractional)
Hf 0.3333 0.6667 0.2500  5 Sc 2.85-2.87
Hf 0.6667 0.3333 0.7500  5 Sc 2.85-2.87
Sc 0.3333 0.6667 0.7500  5 Hf 2.85-2.87
Sc 0.6667 0.3333 0.2500  5 Hf 2.85-2.87
Ag 0.0000 0.0000 0.0000  2 Ag 2.85
Ag 0.0000 0.0000 0.5000  2 Ag 2.85

=====

No. 2
Na2Mg3Cl8: optimized geometry, PBE-GGA.

- Energy relative to the elements, uncorrected: -1839.2 meV per atom
- Symmetry: C2/m, No. 12

Cell: 7.8488 7.8488 6.4178 Å, 105.24 105.24 57.00°
Last column: nearest neighbours and their distance in Å.
Element x y z (fractional)
Na 0.2307 0.2307 0.1514  6 Cl 2.79-3.09
Na 0.7693 0.7693 0.8486  6 Cl 2.79-3.09
Mg 0.2399 0.7601 0.5000  6 Cl 2.48-2.61
Mg 0.5000 0.5000 0.0000  6 Cl 2.51-2.54
Mg 0.7601 0.2399 0.5000  6 Cl 2.48-2.61
Cl 0.1100 0.1100 0.4303  2 Mg 2.48
Cl 0.1609 0.6223 0.1080  2 Mg 2.51-2.52
Cl 0.3777 0.8391 0.8920  2 Mg 2.51-2.52
Cl 0.3960 0.3960 0.5995  3 Mg 2.54-2.61
Cl 0.6040 0.6040 0.4005  3 Mg 2.54-2.61
Cl 0.6223 0.1609 0.1080  2 Mg 2.51-2.52
Cl 0.8391 0.3777 0.8920  2 Mg 2.51-2.52
Cl 0.8900 0.8900 0.5697  2 Mg 2.48

=====

No. 3
Be3CoAu: optimized geometry, PBE-GGA.

- E above lowest polymorph: 0.0000 eV/atom
- Symmetry: Pm-3m, No. 221

Cell: 3.9333 3.9333 3.9333 Å, 90.00 90.00 90.00°
Last column: nearest neighbours and their distance in Å.
Element x y z (fractional)
Be 0.0000 0.0000 0.5000  2 Co 1.97
Be 0.0000 0.5000 0.0000  2 Co 1.97
Be 0.5000 0.0000 0.0000  2 Co 1.97
Co 0.0000 0.0000 0.0000  6 Be 1.97
Au 0.5000 0.5000 0.5000  12 Be 2.78

=====

No. 4
Os4W: optimized geometry, PBE-GGA.

- E above lowest polymorph: 2.7151 eV/atom
- Symmetry: Pm-3m, No. 221

Cell: 4.6433 4.6433 4.6433 Å, 90.00 90.00 90.00°
Last column: nearest neighbours and their distance in Å.
Element x y z (fractional)
Os 0.0000 0.0000 0.0000  12 Os 3.28
Os 0.0000 0.5000 0.5000  2 W 2.32
Os 0.5000 0.0000 0.5000  2 W 2.32
Os 0.5000 0.5000 0.0000  2 W 2.32
W 0.5000 0.5000 0.5000  6 Os 2.32

=====

No. 5
NaCo2Cl2: optimized geometry, PBE-GGA.

- E above lowest polymorph: 0.0534 eV/atom
- Energy relative to the elements, uncorrected: 5.7 meV per atom
- Symmetry: I4/mmm, No. 139

Cell: 4.5246 4.5246 9.2377 Å, 90.00 90.00 90.00°
Last column: nearest neighbours and their distance in Å.
Element x y z (fractional)
Na 0.0000 0.0000 0.0000  8 Cl 3.23, 10 Co 3.39-3.51
Na 0.5000 0.5000 0.5000  8 Cl 3.23, 10 Co 3.39-3.51
Co 0.0000 0.0000 0.3801  1 Co 2.21
Co 0.0000 0.0000 0.6199  1 Co 2.21
Co 0.5000 0.5000 0.1199  1 Co 2.21
Co 0.5000 0.5000 0.8801  1 Co 2.21
Cl 0.0000 0.5000 0.2500  4 Co 2.56
Cl 0.0000 0.5000 0.7500  4 Co 2.56
Cl 0.5000 0.0000 0.2500  4 Co 2.56
Cl 0.5000 0.0000 0.7500  4 Co 2.56

=====

No. 6
LiYHoTm: optimized geometry, PBE-GGA.

- Symmetry: F-43m, No. 216

Cell: 7.6946 7.6946 7.6946 Å, 90.00 90.00 90.00°
Last column: nearest neighbours and their distance in Å.
Element x y z (fractional)
Li 0.0000 0.0000 0.0000  4 Y 3.33, 4 Ho 3.33
Li 0.0000 0.5000 0.5000  4 Y 3.33, 4 Ho 3.33
Li 0.5000 0.0000 0.5000  4 Y 3.33, 4 Ho 3.33
Li 0.5000 0.5000 0.0000  4 Y 3.33, 4 Ho 3.33
Y 0.2500 0.2500 0.2500  4 Li 3.33, 4 Tm 3.33
Y 0.2500 0.7500 0.7500  4 Li 3.33, 4 Tm 3.33
Y 0.7500 0.2500 0.7500  4 Li 3.33, 4 Tm 3.33
Y 0.7500 0.7500 0.2500  4 Li 3.33, 4 Tm 3.33
Ho 0.2500 0.2500 0.7500  4 Li 3.33, 4 Tm 3.33
Ho 0.2500 0.7500 0.2500  4 Li 3.33, 4 Tm 3.33
Ho 0.7500 0.2500 0.2500  4 Li 3.33, 4 Tm 3.33
Ho 0.7500 0.7500 0.7500  4 Li 3.33, 4 Tm 3.33
Tm 0.0000 0.0000 0.5000  4 Ho 3.33, 4 Y 3.33
Tm 0.0000 0.5000 0.0000  4 Ho 3.33, 4 Y 3.33
Tm 0.5000 0.0000 0.0000  4 Ho 3.33, 4 Y 3.33
Tm 0.5000 0.5000 0.5000  4 Ho 3.33, 4 Y 3.33

=====

No. 7
Sm12Sn6Pd: optimized geometry, PBE-GGA.

- Symmetry: R-3, No. 148

Cell: 8.8303 8.8303 8.8303 Å, 99.56 99.56 99.56°
Last column: nearest neighbours and their distance in Å.
Element x y z (fractional)
Sm 0.0244 0.9423 0.6807  1 Pd 2.83, 1 Sn 3.15
Sm 0.0577 0.3193 0.9756  1 Pd 2.83, 1 Sn 3.15
Sm 0.1929 0.5620 0.4256  4 Sn 3.14-3.28
Sm 0.3193 0.9756 0.0577  1 Pd 2.83, 1 Sn 3.15
Sm 0.4256 0.1929 0.5620  4 Sn 3.14-3.28
Sm 0.4380 0.5744 0.8071  4 Sn 3.14-3.28
Sm 0.5620 0.4256 0.1929  4 Sn 3.14-3.28
Sm 0.5744 0.8071 0.4380  4 Sn 3.14-3.28
Sm 0.6807 0.0244 0.9423  1 Pd 2.83, 1 Sn 3.15
Sm 0.8071 0.4380 0.5744  4 Sn 3.14-3.28
Sm 0.9423 0.6807 0.0244  1 Pd 2.83, 1 Sn 3.15
Sm 0.9756 0.0577 0.3193  1 Pd 2.83, 1 Sn 3.15
Sn 0.1235 0.3091 0.6346  7 Sm 3.14-3.32
Sn 0.3091 0.6346 0.1235  7 Sm 3.14-3.32
Sn 0.3654 0.8765 0.6909  7 Sm 3.14-3.32
Sn 0.6346 0.1235 0.3091  7 Sm 3.14-3.32
Sn 0.6909 0.3654 0.8765  7 Sm 3.14-3.32
Sn 0.8765 0.6909 0.3654  7 Sm 3.14-3.32
Pd 0.0000 0.0000 0.0000  6 Sm 2.83

=====

No. 8
Na2AcPb2: optimized geometry, PBE-GGA.

- E above lowest polymorph: 0.0000 eV/atom
- Symmetry: I4/mmm, No. 139

Cell: 4.7384 4.7384 14.7937 Å, 90.00 90.00 90.00°
Last column: nearest neighbours and their distance in Å.
Element x y z (fractional)
Na 0.0000 0.5000 0.2500  4 Pb 3.23, 4 Na 3.35
Na 0.0000 0.5000 0.7500  4 Pb 3.23, 4 Na 3.35
Na 0.5000 0.0000 0.2500  4 Pb 3.23, 4 Na 3.35
Na 0.5000 0.0000 0.7500  4 Pb 3.23, 4 Na 3.35
Ac 0.0000 0.0000 0.0000  8 Pb 3.67
Ac 0.5000 0.5000 0.5000  8 Pb 3.67
Pb 0.0000 0.0000 0.3986  1 Pb 3.00, 4 Na 3.23
Pb 0.0000 0.0000 0.6014  1 Pb 3.00, 4 Na 3.23
Pb 0.5000 0.5000 0.1014  1 Pb 3.00, 4 Na 3.23
Pb 0.5000 0.5000 0.8986  1 Pb 3.00, 4 Na 3.23

=====

No. 9
Hf5BiPd: optimized geometry, PBE-GGA.

- Symmetry: C2/c, No. 15

Cell: 6.0131 6.0131 10.3883 Å, 109.89 109.89 75.91°
Last column: nearest neighbours and their distance in Å.
Element x y z (fractional)
Hf 0.0030 0.7563 0.9991  7 Hf 2.92-3.26, 1 Pd 3.02, 1 Bi 3.17
Hf 0.1155 0.3262 0.7650  6 Hf 2.94-3.23, 2 Bi 3.04-3.08, 1 Pd 3.08
Hf 0.1812 0.8188 0.7500  2 Pd 2.70, 2 Hf 2.94, 1 Bi 3.02
Hf 0.2437 0.9970 0.5009  7 Hf 2.92-3.26, 1 Pd 3.02, 1 Bi 3.17
Hf 0.3262 0.1155 0.2650  6 Hf 2.94-3.23, 2 Bi 3.04-3.08, 1 Pd 3.08
Hf 0.6738 0.8845 0.7350  6 Hf 2.94-3.23, 2 Bi 3.04-3.08, 1 Pd 3.08
Hf 0.7563 0.0030 0.4991  7 Hf 2.92-3.26, 1 Pd 3.02, 1 Bi 3.17
Hf 0.8188 0.1812 0.2500  2 Pd 2.70, 2 Hf 2.94, 1 Bi 3.02
Hf 0.8845 0.6738 0.2350  6 Hf 2.94-3.23, 2 Bi 3.04-3.08, 1 Pd 3.08
Hf 0.9970 0.2437 0.0009  7 Hf 2.92-3.26, 1 Pd 3.02, 1 Bi 3.17
Bi 0.4108 0.5892 0.2500  7 Hf 3.02-3.17
Bi 0.5892 0.4108 0.7500  7 Hf 3.02-3.17
Pd 0.0000 0.5000 0.5000  4 Hf 2.70-3.02
Pd 0.5000 0.0000 0.0000  4 Hf 2.70-3.02

=====

No. 10
Li2OsF: optimized geometry, PBE-GGA.

- E above lowest polymorph: 0.0000 eV/atom
- Energy relative to the elements, uncorrected: -347.5 meV per atom
- Symmetry: I-42d, No. 122

Cell: 5.3710 5.3710 6.9426 Å, 90.00 90.00 90.00°
Last column: nearest neighbours and their distance in Å.
Element x y z (fractional)
Li 0.1188 0.7500 0.1250  2 F 1.72
Li 0.2500 0.1188 0.8750  2 F 1.72
Li 0.2500 0.3812 0.3750  2 F 1.72
Li 0.3812 0.7500 0.6250  2 F 1.72
Li 0.6188 0.2500 0.6250  2 F 1.72
Li 0.7500 0.6188 0.3750  2 F 1.72
Li 0.7500 0.8812 0.8750  2 F 1.72
Li 0.8812 0.2500 0.1250  2 F 1.72
Os 0.0000 0.0000 0.5000  4 Li 2.60
Os 0.0000 0.5000 0.7500  4 Li 2.60
Os 0.5000 0.0000 0.2500  4 Li 2.60
Os 0.5000 0.5000 0.0000  4 Li 2.60
F 0.0000 0.0000 0.0000  4 Li 1.72
F 0.0000 0.5000 0.2500  4 Li 1.72
F 0.5000 0.0000 0.7500  4 Li 1.72
F 0.5000 0.5000 0.5000  4 Li 1.72

=====

No. 11
Ca2ZrS2O2: optimized geometry, PBE-GGA.

- Energy relative to the elements, uncorrected: -2529.4 meV per atom
- Symmetry: I4/mmm, No. 139

Cell: 4.1453 4.1453 15.0437 Å, 90.00 90.00 90.00°
Last column: nearest neighbours and their distance in Å.
Element x y z (fractional)
Ca 0.0000 0.0000 0.1374  5 S 2.87-2.98, 4 O 2.93
Ca 0.0000 0.0000 0.8626  5 S 2.87-2.98, 4 O 2.93
Ca 0.5000 0.5000 0.3626  5 S 2.87-2.98, 4 O 2.93
Ca 0.5000 0.5000 0.6374  5 S 2.87-2.98, 4 O 2.93
Zr 0.0000 0.0000 0.5000  4 O 2.07
Zr 0.5000 0.5000 0.0000  4 O 2.07
S 0.0000 0.0000 0.3278  1 Zr 2.59, 1 Ca 2.87
S 0.0000 0.0000 0.6722  1 Zr 2.59, 1 Ca 2.87
S 0.5000 0.5000 0.1722  1 Zr 2.59, 1 Ca 2.87
S 0.5000 0.5000 0.8278  1 Zr 2.59, 1 Ca 2.87
O 0.0000 0.5000 0.0000  2 Zr 2.07
O 0.0000 0.5000 0.5000  2 Zr 2.07
O 0.5000 0.0000 0.0000  2 Zr 2.07
O 0.5000 0.0000 0.5000  2 Zr 2.07

=====

No. 12
NaAcSm: optimized geometry, PBE-GGA.

- E above lowest polymorph: 0.0329 eV/atom
- Symmetry: P-1, No. 2

Cell: 3.8484 6.1925 9.7923 Å, 82.68 78.76 89.97°
Last column: nearest neighbours and their distance in Å.
Element x y z (fractional)
Na 0.0670 0.1851 0.3678  1 Na 3.19
Na 0.9330 0.8149 0.6322  1 Na 3.19
Ac 0.3973 0.3109 0.7066  6 Na 3.66-3.95, 4 Sm 3.74-3.91, 2 Ac 3.85
Ac 0.6027 0.6891 0.2934  6 Na 3.66-3.95, 4 Sm 3.74-3.91, 2 Ac 3.85
Sm 0.2710 0.7610 0.9562  2 Na 3.63-3.64, 6 Sm 3.71-3.85, 4 Ac 3.74-3.91
Sm 0.7290 0.2390 0.0438  2 Na 3.63-3.64, 6 Sm 3.71-3.85, 4 Ac 3.74-3.91

=====

Number 1: raw total energy -6.024 eV/atom, M_tot 0.000 μB per formula unit, ρ 9.016 Mg/m³. Number 2: raw total energy -3.547 eV/atom, M_tot 0.000 μB per formula unit, ρ 2.112 Mg/m³. Number 3: raw total energy -3.850 eV/atom, M_tot 0.000 μB per formula unit, ρ 7.721 Mg/m³. Number 4: raw total energy -8.775 eV/atom, M_tot 1.978 μB per formula unit, ρ 15.670 Mg/m³. Number 5: raw total energy -3.839 eV/atom, M_tot 4.721 μB per formula unit, ρ 3.719 Mg/m³. Number 6: raw total energy -4.187 eV/atom, M_tot 0.000 μB per formula unit, ρ 6.265 Mg/m³. Number 7: raw total energy -4.932 eV/atom, M_tot 0.002 μB per formula unit, ρ 6.638 Mg/m³. Number 8: raw total energy -3.107 eV/atom, M_tot 0.000 μB per formula unit, ρ 6.873 Mg/m³. Number 9: raw total energy -8.333 eV/atom, M_tot 0.000 μB per formula unit, ρ 12.205 Mg/m³. Number 10: raw total energy -4.580 eV/atom, M_tot 0.798 μB per formula unit, ρ 7.399 Mg/m³. Number 11: raw total energy -6.918 eV/atom, M_tot 0.000 μB per formula unit, ρ 3.437 Mg/m³. Number 12: raw total energy -3.221 eV/atom, M_tot 0.000 μB per formula unit, ρ 5.859 Mg/m³.